Entry 1:
BPRu2C after structural relaxation. Source: the Alexandria database, functional PBE-GGA.

Structure (POSCAR):
```
BPRu2C
1.0
4.325 0.000 0.000
0.000 4.325 0.000
0.000 0.000 2.945
B P Ru C
1 1 2 1
direct
0.000 0.000 0.000 B
0.500 0.500 0.500 P
0.000 0.500 0.000 Ru
0.500 0.000 0.000 Ru
0.000 0.000 0.500 C
```

Computed properties:
Space group = No. 123
ΔH_f (0 K) = 0.56 eV per atom
DOS at the Fermi energy = 5.00 states/eV/cell

Entry 2:
MnCo2Sb8 after structural relaxation. Source: the Alexandria database, functional PBE-GGA.

Structure (POSCAR):
```
MnCo2Sb8
1.0
4.287 -4.885 0.000
4.287 4.885 0.000
-2.141 0.000 6.572
Mn Co Sb
1 2 8
direct
0.000 0.000 0.000 Mn
0.085 0.085 0.370 Co
0.915 0.915 0.630 Co
0.192 0.701 0.770 Sb
0.225 0.225 0.751 Sb
0.299 0.808 0.230 Sb
0.350 0.350 0.287 Sb
0.650 0.650 0.713 Sb
0.701 0.192 0.770 Sb
0.775 0.775 0.249 Sb
0.808 0.299 0.230 Sb
```

Computed properties:
Space group = No. 12
Formation energy without anion corrections = 103 meV/atom
DOS at the Fermi energy = 7.08 states/eV/cell

Entry 3:
Pr5NdTh after structural relaxation. Source: the Alexandria database, functional PBE-GGA.

Structure (POSCAR):
```
Pr5NdTh
1.0
5.809 0.000 0.000
0.000 5.809 0.000
0.000 0.000 7.929
Pr Nd Th
5 1 1
direct
0.000 0.000 0.000 Pr
0.000 0.500 0.283 Pr
0.000 0.500 0.717 Pr
0.500 0.000 0.283 Pr
0.500 0.000 0.717 Pr
0.500 0.500 0.000 Nd
0.500 0.500 0.500 Th
```

Computed properties:
Space group = No. 123
ΔH_f (0 K) = 0.31 eV per atom
DOS at the Fermi energy = 10.73 states/eV/cell

Entry 4:
Na2CuAuBr6 after structural relaxation. Source: the Alexandria database, functional PBE-GGA.

Structure (POSCAR):
```
Na2CuAuBr6
1.0
6.942 0.000 0.000
2.720 6.820 0.000
3.214 1.260 6.612
Na Cu Au Br
2 1 1 6
direct
0.000 0.000 0.000 Na
0.426 0.548 0.457 Na
0.352 0.325 0.008 Cu
0.781 0.821 0.570 Au
0.101 0.392 0.851 Br
0.119 0.945 0.364 Br
0.453 0.680 0.791 Br
0.525 0.240 0.239 Br
0.666 0.038 0.820 Br
0.878 0.623 0.304 Br
```

Computed properties:
Space group = No. 1
Formation energy without anion corrections = -738 meV/atom

Entry 5:
LiSbTe2 after structural relaxation. Source: the Alexandria database, functional PBE-GGA.

Structure (POSCAR):
```
LiSbTe2
1.0
4.304 0.000 0.000
0.000 4.304 0.000
0.000 0.000 6.429
Li Sb Te
1 1 2
direct
0.000 0.000 0.000 Li
0.500 0.500 0.449 Sb
0.000 0.000 0.536 Te
0.500 0.500 0.019 Te
```

Computed properties:
Space group = No. 99
Formation energy without anion corrections = -418 meV/atom

Entry 6:
La7Pt6 after structural relaxation. Source: the Alexandria database, functional PBE-GGA.

Structure (POSCAR):
```
La7Pt6
1.0
3.633 2.097 8.041
-3.633 2.097 8.041
0.000 -4.195 8.041
La Pt
7 6
direct
0.000 0.000 0.000 La
0.094 0.094 0.564 La
0.094 0.564 0.094 La
0.436 0.906 0.906 La
0.564 0.094 0.094 La
0.906 0.436 0.906 La
0.906 0.906 0.436 La
0.162 0.162 0.162 Pt
0.338 0.338 0.338 Pt
0.447 0.447 0.447 Pt
0.553 0.553 0.553 Pt
0.662 0.662 0.662 Pt
0.838 0.838 0.838 Pt
```

Computed properties:
Space group = No. 166
ΔH_f (0 K) = -0.31 eV per atom
DOS at the Fermi energy = 10.21 states/eV/cell

Entry 7:
Cs4Pr3NpTe8 after structural relaxation. Source: the Alexandria database, functional PBE-GGA.

Structure (POSCAR):
```
Cs4Pr3NpTe8
1.0
8.139 -4.693 0.000
8.139 4.693 0.000
-5.443 0.000 8.944
Cs Pr Np Te
4 3 1 8
direct
0.000 0.000 0.000 Cs
0.000 0.500 0.000 Cs
0.500 0.000 0.000 Cs
0.500 0.500 0.000 Cs
0.000 0.000 0.500 Pr
0.000 0.500 0.500 Pr
0.500 0.000 0.500 Pr
0.500 0.500 0.500 Np
0.232 0.232 0.697 Te
0.236 0.729 0.694 Te
0.271 0.271 0.306 Te
0.271 0.764 0.306 Te
0.729 0.236 0.694 Te
0.729 0.729 0.694 Te
0.764 0.271 0.306 Te
0.768 0.768 0.303 Te
```

Computed properties:
Space group = No. 12
Formation energy without anion corrections = -1281 meV/atom
DOS at the Fermi energy = 5.91 states/eV/cell

Entry 8:
Ca2NdAl2As4 after structural relaxation. Source: the Alexandria database, functional PBE-GGA.

Structure (POSCAR):
```
Ca2NdAl2As4
1.0
7.620 -2.062 0.000
7.620 2.062 0.000
-2.229 0.000 6.912
Ca Nd Al As
2 1 2 4
direct
0.126 0.126 0.053 Ca
0.874 0.874 0.947 Ca
0.000 0.000 0.500 Nd
0.326 0.326 0.510 Al
0.674 0.674 0.490 Al
0.214 0.214 0.713 As
0.475 0.475 0.776 As
0.525 0.525 0.224 As
0.786 0.786 0.287 As
```

Computed properties:
Space group = No. 12
ΔH_f (0 K) = -0.88 eV per atom
DOS at the Fermi energy = 3.02 states/eV/cell